A geometry-optimized CoAgOs2O8 structure, computed with GGA+U.

Values from the calculation:
- space group = P-3, No. 147
- total moment (μB per cell) = 0.0
- total DFT energy (no corrections) (eV/atom) = -6.5602

Unit cell a=5.781 b=5.781 c=6.469 alpha=90.00 beta=90.00 gamma=120.00
Last column: magnetic moment on the atom in μB.
Atoms (fractional coordinates):
Os 0.667 0.333 0.232  -0.74
Ag 0.000 0.000 0.000  -0.03
O 0.206 0.881 0.694  -0.07
O 0.881 0.675 0.306  -0.07
O 0.675 0.794 0.694  -0.07
O 0.119 0.325 0.694  -0.07
O 0.794 0.119 0.306  -0.07
Co 0.000 0.000 0.500  2.59
Os 0.333 0.667 0.768  -0.74
O 0.333 0.667 0.040  -0.18
O 0.325 0.206 0.306  -0.07
O 0.667 0.333 0.960  -0.18